# 1
The following is a PBE calculation of an optimized crystal structure of Pm10Dy4Tm, from Alexandria via LeMat-Bulk.

Cell: 7.7602 9.5223 9.5223 Å, 80.44 65.95 65.95°
Sites, in units of the cell vectors:
Pm (0.5508, 0.1004, 0.2991)
Pm (0.9504, 0.8996, 0.7009)
Dy (0.6004, 0.1990, 0.6002)
Pm (0.7500, 0.5000, 0.5000)
Dy (0.2006, 0.3998, 0.1990)
Pm (0.1500, 0.2991, 0.8996)
Tm (0.0000, 0.0000, 0.0000)
Pm (0.3488, 0.7009, 0.1004)
Dy (0.7994, 0.6002, 0.8010)
Pm (0.6512, 0.2991, 0.8996)
Dy (0.3996, 0.8010, 0.3998)
Pm (0.0496, 0.1004, 0.2991)
Pm (0.8500, 0.7009, 0.1004)
Pm (0.4492, 0.8996, 0.7009)
Pm (0.2500, 0.5000, 0.5000)

Calculated values
For the total DFT energy (no corrections), the calculation gives -3.99 eV per atom. The calculation puts the density of states at the Fermi level at 20.2 states/eV per cell. As for the energy relative to the elements: 10.51 eV per formula unit.

# 2
The following is a PBE calculation of an optimized crystal structure of DySc2Ga4, from Alexandria via LeMat-Bulk.

Cell: 4.0868 3.9481 9.3276 Å, 102.22 102.65 90.00°
Sites, in units of the cell vectors:
Ga (0.3476, 0.3476, 0.6951)
Sc (0.1882, 0.1882, 0.3763)
Ga (0.0697, 0.5697, 0.1394)
Ga (0.6524, 0.6524, 0.3049)
Dy (0.5000, 0.0000, 0.0000)
Sc (0.8118, 0.8118, 0.6237)
Ga (0.9303, 0.4303, 0.8606)

Calculated values
For the total DFT energy (no corrections), the calculation gives -4.81 eV per atom. The calculation puts the density of states at the Fermi level at 5.7 states/eV per cell. As for the energy relative to the elements: -4.27 eV per formula unit.